# CdInHg2 (PBE-GGA, optimized geometry)
# Spin magnetization, μB/f.u.: 0.0
# Crystal system: monoclinic
# Energy relative to the elements, meV/atom: 13
data_CdInHg2
_cell_length_a 11.9523
_cell_length_b 3.5748
_cell_length_c 5.1123
_cell_angle_alpha 90.00
_cell_angle_beta 109.96
_cell_angle_gamma 90.00
_symmetry_space_group_name_H-M 'C 1 m 1'
_symmetry_Int_Tables_number 8
loop_
_symmetry_equiv_pos_as_xyz
'x,y,z'
'x,-y,z'
'x+1/2,y+1/2,z'
'x+1/2,-y+1/2,z'
loop_
_atom_site_label
_atom_site_type_symbol
_atom_site_fract_x
_atom_site_fract_y
_atom_site_fract_z
Cd1 Cd 0.0000 0.0000 0.0000
In1 In 0.2589 0.0000 0.5732
Hg1 Hg 0.0110 0.5000 0.5023
Hg2 Hg 0.2466 0.5000 0.0686